DFT (PBE) results for crystalline Tl2InP at its relaxed geometry.

Computed properties:
**Total magnetization**: 0.00 μB/f.u.
**Calculated volume**: 106 Å³ per cell
**Energy relative to the elements**: 0.262 eV per atom

a b c (Å): 5.7510 5.7510 5.7510
angles (deg): 131.01 131.01 71.79
Sites, in units of the cell vectors:
1 Tl 0.5000 0.5000 0.0000
2 Tl 0.0000 0.0000 0.0000
3 P 0.7500 0.2500 0.5000
4 In 0.2500 0.7500 0.5000

DFT (PBE) results for crystalline CuAu3N at its relaxed geometry.

Computed properties:
**Total magnetization**: 0.00 μB/f.u.
**Calculated volume**: 105 Å³ per cell
**Calculated total energy**: -2.632 eV/atom

a b c (Å): 4.7184 4.7184 4.7184
angles (deg): 90.00 90.00 90.00
Sites, in units of the cell vectors:
1 Au 0.0000 0.0000 0.5000
2 Au 0.5000 0.0000 0.0000
3 Au 0.0000 0.5000 0.0000
4 N 0.5000 0.5000 0.5000
5 Cu 0.0000 0.0000 0.0000

DFT (PBE) results for crystalline CsZr2VS at its relaxed geometry.

Computed properties:
**Total magnetization**: 0.00 μB/f.u.
**Calculated volume**: 123 Å³ per cell
**Calculated total energy**: -5.568 eV/atom

a b c (Å): 5.1244 4.6825 5.1244
angles (deg): 90.00 90.00 90.00
Sites, in units of the cell vectors:
1 Cs 0.5000 0.5000 0.5000
2 S 0.0000 0.5000 0.0000
3 Zr 0.0000 0.0000 0.5000
4 Zr 0.5000 0.0000 0.0000
5 V 0.0000 0.0000 0.0000

DFT (PBE) results for crystalline AlSe2Br at its relaxed geometry.

Computed properties:
**Total magnetization**: 0.44 μB/f.u.
**Calculated volume**: 120 Å³ per cell
**Calculated total energy**: -3.344 eV/atom

a b c (Å): 11.5147 11.5147 11.5147
angles (deg): 17.46 17.46 17.46
Sites, in units of the cell vectors:
1 Br 0.7859 0.7859 0.7859
2 Al 0.5037 0.5037 0.5037
3 Se 0.2098 0.2098 0.2098
4 Se 0.0005 0.0005 0.0005

DFT (PBE) results for crystalline CsNaTlI3 at its relaxed geometry.

Computed properties:
**Total magnetization**: 0.00 μB/f.u.
**Calculated volume**: 575 Å³ per cell
**Calculated total energy**: -2.660 eV/atom

a b c (Å): 5.3772 9.8679 11.5159
angles (deg): 109.73 90.00 90.00
Sites, in units of the cell vectors:
1 Tl 0.7500 0.3253 0.8835
2 Tl 0.2500 0.6747 0.1165
3 I 0.2500 0.5160 0.8055
4 I 0.2500 0.0929 0.8807
5 I 0.7500 0.4840 0.1945
6 I 0.7500 0.9071 0.1193
7 I 0.2500 0.8044 0.4852
8 I 0.7500 0.1956 0.5148
9 Na 0.2500 0.1485 0.6305
10 Na 0.7500 0.8515 0.3695
11 Cs 0.2500 0.2213 0.2482
12 Cs 0.7500 0.7787 0.7518

DFT (PBE) results for crystalline TeMoPt2 at its relaxed geometry.

Computed properties:
**Total magnetization**: 0.00 μB/f.u.
**Calculated volume**: 72 Å³ per cell
**Calculated total energy**: -6.398 eV/atom

a b c (Å): 2.9726 3.6686 6.5725
angles (deg): 90.00 90.00 90.00
Sites, in units of the cell vectors:
1 Pt 0.0000 0.0000 0.9861
2 Pt 0.5000 0.5000 0.2226
3 Te 0.0000 0.0000 0.5021
4 Mo 0.5000 0.5000 0.7892